a:
{
  "formula": "NdPuAu",
  "functional": "PBE",
  "state": "optimized geometry",
  "lattice": [[-2.4603, 1.1017, -3.8804], [6.3461, -1.8542, -4.5500], [-2.7410, -8.0099, -0.5362]],
  "species": ["Nd", "Nd", "Nd", "Nd", "Pu", "Pu", "Pu", "Pu", "Au", "Au", "Au", "Au"],
  "frac_coords": [[0.2500, 0.6246, 0.6441], [0.7500, 0.8754, 0.3559], [0.7500, 0.3754, 0.3559], [0.2500, 0.1246, 0.6441], [0.2500, 0.8751, 0.0014], [0.7500, 0.6249, 0.9986], [0.7500, 0.1249, 0.9986], [0.2500, 0.3751, 0.0014], [0.2500, 0.6255, 0.2783], [0.7500, 0.8745, 0.7217], [0.7500, 0.3745, 0.7217], [0.2500, 0.1255, 0.2783]],
  "m_tot_mub_per_cell": 24.76,
  "dos_at_fermi_per_ev_cell": 30.12,
  "space_group": "P2_1/m, No. 11"
}

=====

b:
{
  "formula": "NdPuAu",
  "functional": "PBE",
  "state": "optimized geometry",
  "lattice": [[3.6917, 0.0000, 0.0000], [0.0000, 3.6917, 0.0000], [-1.8459, -1.8459, 6.0614]],
  "species": ["Au", "Nd", "Pu"],
  "frac_coords": [[0.6659, 0.6659, 0.3317], [0.3136, 0.3136, 0.6272], [0.0205, 0.0205, 0.0411]],
  "m_tot_mub_per_cell": 6.35,
  "dos_at_fermi_per_ev_cell": 10.06,
  "space_group": "I4mm, No. 107"
}

=====

Which one is most stable, and which one is least stable? a is the most stable of them, while b is the least stable.

=====

a:
{
  "formula": "NdPuRhAu",
  "functional": "PBE",
  "state": "optimized geometry",
  "lattice": [[-1.3261, -3.8110, 3.0762], [3.3412, -3.6592, 1.0916], [1.9903, -0.3113, 4.6569]],
  "species": ["Nd", "Au", "Rh", "Pu"],
  "frac_coords": [[0.2500, 0.2500, 0.2500], [0.0000, 0.0000, 0.0000], [0.5000, 0.5000, 0.5000], [0.7500, 0.7500, 0.7500]],
  "m_tot_mub_per_cell": 5.73,
  "dos_at_fermi_per_ev_cell": 13.11,
  "space_group": "F-43m, No. 216"
}

=====

b:
{
  "formula": "NdPuRhAu",
  "functional": "PBE",
  "state": "optimized geometry",
  "lattice": [[3.9871, 0.0000, 0.0000], [0.0000, 4.2418, 0.0000], [-1.9935, 0.0000, 5.6847]],
  "species": ["Nd", "Pu", "Rh", "Au"],
  "frac_coords": [[0.1511, 0.0000, 0.3023], [0.8671, 0.5000, 0.7341], [0.4033, 0.0000, 0.8066], [0.5785, 0.5000, 0.1570]],
  "m_tot_mub_per_cell": 5.59,
  "dos_at_fermi_per_ev_cell": 10.72,
  "space_group": "Amm2, No. 38"
}

=====

Which one is most stable, and which one is least stable? b is the most stable of them, while a is the least stable.

=====

a:
{
  "formula": "RbNdAu2",
  "functional": "PBE",
  "state": "optimized geometry",
  "lattice": [[-0.1658, 2.6351, -2.8137], [-0.8773, -2.7682, -2.5408], [-8.1307, 1.1492, 1.5555]],
  "species": ["Nd", "Au", "Au", "Rb"],
  "frac_coords": [[0.5000, 0.5000, 0.0000], [0.0000, 0.0000, 0.8189], [0.0000, 0.0000, 0.1811], [0.5000, 0.5000, 0.5000]],
  "m_tot_mub_per_cell": 0.00,
  "dos_at_fermi_per_ev_cell": 2.07,
  "space_group": "P4/mmm, No. 123"
}

=====

b:
{
  "formula": "RbNdAu2",
  "functional": "PBE",
  "state": "optimized geometry",
  "lattice": [[3.5541, 0.0000, 0.0000], [0.0000, 5.6234, 0.0000], [0.0000, 0.0000, 5.6234]],
  "species": ["Nd", "Au", "Au", "Rb"],
  "frac_coords": [[0.5000, 0.5000, 0.5000], [0.0000, 0.0000, 0.5000], [0.0000, 0.5000, 0.0000], [0.5000, 0.0000, 0.0000]],
  "m_tot_mub_per_cell": 0.00,
  "dos_at_fermi_per_ev_cell": 3.32,
  "space_group": "P4/mmm, No. 123"
}

=====

Which one is most stable, and which one is least stable? a is the most stable of them, while b is the least stable.

=====

a:
{
  "formula": "Nd7Rh2Au2",
  "functional": "PBE",
  "state": "optimized geometry",
  "lattice": [[3.9078, 0.0000, 0.8381], [1.0387, 8.3143, 4.6866], [-0.0151, -0.0994, 9.6000]],
  "species": ["Nd", "Nd", "Nd", "Nd", "Nd", "Nd", "Nd", "Rh", "Rh", "Au", "Au"],
  "frac_coords": [[0.8104, 0.0800, 0.2991], [0.8839, 0.3842, 0.8479], [0.5000, 0.9820, 0.0180], [0.6061, 0.5029, 0.2848], [0.3939, 0.7152, 0.4971], [0.1896, 0.7009, 0.9200], [0.1161, 0.1521, 0.6158], [0.0000, 0.7750, 0.2250], [0.5000, 0.3591, 0.6409], [0.7371, 0.8641, 0.6616], [0.2629, 0.3384, 0.1359]],
  "m_tot_mub_per_cell": 0.00,
  "dos_at_fermi_per_ev_cell": 11.58,
  "space_group": "Imm2, No. 44"
}

=====

b:
{
  "formula": "Nd7Rh2Au2",
  "functional": "PBE",
  "state": "optimized geometry",
  "lattice": [[6.8360, -0.0036, -0.9331], [0.0032, 7.2095, 0.0032], [-1.3572, -0.0014, 6.7646]],
  "species": ["Nd", "Nd", "Nd", "Nd", "Nd", "Nd", "Nd", "Rh", "Rh", "Au", "Au"],
  "frac_coords": [[0.0000, 0.2619, 0.5000], [0.5000, 0.7381, 0.0000], [0.0000, 0.7381, 0.5000], [0.5000, 0.2619, 0.0000], [0.0000, 0.0000, 0.0000], [0.5000, 0.7468, 0.5000], [0.5000, 0.2532, 0.5000], [0.7069, 0.0000, 0.2931], [0.2931, 0.0000, 0.7069], [0.8186, 0.5000, 0.8186], [0.1814, 0.5000, 0.1814]],
  "m_tot_mub_per_cell": 0.00,
  "dos_at_fermi_per_ev_cell": 13.15,
  "space_group": "Cmmm, No. 65"
}

=====

Which one is most stable, and which one is least stable? a is the most stable of them, while b is the least stable.

=====

a:
{
  "formula": "Nd3Rh2Au",
  "functional": "PBE",
  "state": "optimized geometry",
  "lattice": [[3.7139, 0.0000, -1.1749], [0.0000, 4.5375, 0.0000], [0.5370, 0.0000, 8.1551]],
  "species": ["Nd", "Nd", "Nd", "Rh", "Rh", "Au"],
  "frac_coords": [[0.3360, 0.0000, 0.6719], [0.6640, 0.0000, 0.3281], [0.5000, 0.5000, 0.0000], [0.1744, 0.5000, 0.3488], [0.8256, 0.5000, 0.6512], [0.0000, 0.0000, 0.0000]],
  "m_tot_mub_per_cell": 0.00,
  "dos_at_fermi_per_ev_cell": 3.09,
  "space_group": "Cmmm, No. 65"
}

=====

b:
{
  "formula": "Nd3Rh2Au",
  "functional": "PBE",
  "state": "optimized geometry",
  "lattice": [[-0.8777, -2.4965, 2.4188], [-1.8249, -1.7923, -2.5121], [9.0270, -5.6333, -2.5385]],
  "species": ["Nd", "Nd", "Nd", "Rh", "Rh", "Au"],
  "frac_coords": [[0.0000, 0.0000, 0.0000], [0.0000, 0.0000, 0.6819], [0.0000, 0.0000, 0.3181], [0.5000, 0.5000, 0.8363], [0.5000, 0.5000, 0.1637], [0.5000, 0.5000, 0.5000]],
  "m_tot_mub_per_cell": 0.00,
  "dos_at_fermi_per_ev_cell": 6.38,
  "space_group": "P4/mmm, No. 123"
}

=====

Which one is most stable, and which one is least stable? b is the most stable of them, while a is the least stable.

=====

a:
{
  "formula": "Nd3RhAu2",
  "functional": "PBE",
  "state": "optimized geometry",
  "lattice": [[6.0180, 0.0000, 0.0000], [0.0000, 8.2771, 0.0039], [-3.0090, -2.0694, 6.6033]],
  "species": ["Nd", "Nd", "Nd", "Nd", "Nd", "Nd", "Rh", "Rh", "Au", "Au", "Au", "Au"],
  "frac_coords": [[0.5002, 0.2500, 0.0000], [0.4998, 0.7500, 0.0000], [0.1477, 0.0741, 0.2971], [0.8506, 0.4259, 0.7029], [0.1494, 0.5741, 0.2971], [0.8523, 0.9259, 0.7029], [0.9997, 0.7500, 0.0000], [0.0003, 0.2500, 0.0000], [0.6748, 0.5869, 0.3479], [0.6731, 0.0869, 0.3479], [0.3269, 0.9131, 0.6521], [0.3252, 0.4131, 0.6521]],
  "m_tot_mub_per_cell": 0.00,
  "dos_at_fermi_per_ev_cell": 6.98,
  "space_group": "C2/c, No. 15"
}

=====

b:
{
  "formula": "Nd3RhAu2",
  "functional": "PBE",
  "state": "optimized geometry",
  "lattice": [[-1.1334, 3.7981, -2.2819], [-5.5405, 3.6403, 8.8111], [10.2671, 5.5621, 4.1580]],
  "species": ["Nd", "Nd", "Nd", "Nd", "Nd", "Nd", "Nd", "Nd", "Nd", "Nd", "Nd", "Nd", "Rh", "Rh", "Rh", "Rh", "Au", "Au", "Au", "Au", "Au", "Au", "Au", "Au"],
  "frac_coords": [[0.2500, 0.3784, 0.0508], [0.7500, 0.6216, 0.9492], [0.7500, 0.8784, 0.4492], [0.2500, 0.1216, 0.5508], [0.2500, 0.7095, 0.2420], [0.7500, 0.2905, 0.7580], [0.7500, 0.2095, 0.2580], [0.2500, 0.7905, 0.7420], [0.2500, 0.4425, 0.3888], [0.7500, 0.5575, 0.6112], [0.7500, 0.9425, 0.1112], [0.2500, 0.0575, 0.8888], [0.2500, 0.1314, 0.1228], [0.7500, 0.8686, 0.8772], [0.7500, 0.6314, 0.3772], [0.2500, 0.3686, 0.6228], [0.2500, 0.7025, 0.5053], [0.7500, 0.2975, 0.4947], [0.7500, 0.2025, 0.9947], [0.2500, 0.7975, 0.0053], [0.2500, 0.9934, 0.3104], [0.7500, 0.0066, 0.6896], [0.7500, 0.4934, 0.1896], [0.2500, 0.5066, 0.8104]],
  "m_tot_mub_per_cell": 0.00,
  "dos_at_fermi_per_ev_cell": 18.70,
  "space_group": "Pnma, No. 62"
}

=====

Which one is most stable, and which one is least stable? b is the most stable of them, while a is the least stable.